{
  "formula": "CoNi2As",
  "functional": "PBEsol",
  "state": "relaxed",
  "total_magnetization_mub_per_fu": 1.78,
  "e_form_kj_per_mol_atoms": 1.1,
  "space_group": "P2/m (10)",
  "lattice_angstrom": [[2.645, 0.000, 0.000], [0.000, 3.720, 0.000], [-1.096, 0.000, 4.687]],
  "species": ["Co", "Ni", "Ni", "As"],
  "fractional_positions": [[0.000, 0.000, 0.000], [0.394, 0.500, 0.748], [0.606, 0.500, 0.252], [0.000, 0.000, 0.500]]
}

***

{
  "formula": "LiTe2Cl",
  "functional": "PBEsol",
  "state": "relaxed",
  "total_magnetization_mub_per_fu": 0.00,
  "space_group": "Fm-3m (225)",
  "formation_energy_uncorrected_ev_per_fu": -0.33,
  "de_polymorph_ev_per_atom": 0.611,
  "lattice_angstrom": [[7.131, 0.000, 0.000], [0.000, 7.131, 0.000], [0.000, 0.000, 7.131]],
  "species": ["Li", "Li", "Li", "Li", "Te", "Te", "Te", "Te", "Te", "Te", "Te", "Te", "Cl", "Cl", "Cl", "Cl"],
  "fractional_positions": [[0.000, 0.000, 0.000], [0.000, 0.500, 0.500], [0.500, 0.000, 0.500], [0.500, 0.500, 0.000], [0.250, 0.250, 0.250], [0.250, 0.250, 0.750], [0.250, 0.750, 0.250], [0.250, 0.750, 0.750], [0.750, 0.250, 0.250], [0.750, 0.250, 0.750], [0.750, 0.750, 0.250], [0.750, 0.750, 0.750], [0.000, 0.000, 0.500], [0.000, 0.500, 0.000], [0.500, 0.000, 0.000], [0.500, 0.500, 0.500]]
}